RbGa2P2 | PBE | optimized geometry

Calculated values
As for the polymorph energy (0 for the lowest one): 0 meV per atom. The electronic total energy is -3.903 eV per atom. The calculation puts the mass density at 3.72 Mg/m³. The size of the total moment comes out at 0.00 μB per cell.

Lattice parameters (Å, degrees): 4.293 4.293 7.585 73.56 73.56 90.00
Fractional coordinates of all 5 atoms:
Ga 0.750 0.250 0.500
P 0.657 0.657 0.686
Ga 0.250 0.750 0.500
P 0.343 0.343 0.314
Rb 0.000 0.000 0.000